Version one
A plane-wave DFT calculation with PBE-GGA was carried out for crystalline Fe2IrAu at its relaxed geometry.

Space group ... No. 35
Density of states at the Fermi level ... 0.876 states/eV/atom

a b c (Å): 2.694 2.694 8.876
angles (deg): 90.00 90.00 115.32
Fractional coordinates of all 4 atoms:
Fe (0.000, 0.000, 0.000)
Fe (0.500, 0.500, 0.219)
Ir (0.500, 0.500, 0.765)
Au (0.000, 0.000, 0.478)


Version two
A plane-wave DFT calculation with PBE-GGA was carried out for crystalline Fe2IrAu at its relaxed geometry.

Space group ... No. 123
Density of states at the Fermi level ... 0.802 states/eV/atom

a b c (Å): 3.914 3.914 3.746
angles (deg): 90.00 90.00 90.00
Fractional coordinates of all 4 atoms:
Fe (0.000, 0.500, 0.000)
Fe (0.500, 0.000, 0.000)
Ir (0.000, 0.000, 0.500)
Au (0.500, 0.500, 0.500)


Sorted by energy, starting with the most stable: version two, version one.


Version one
A plane-wave DFT calculation with PBE-GGA was carried out for crystalline Fe2IrAu at its relaxed geometry.

Space group ... No. 216
Density of states at the Fermi level ... 1.072 states/eV/atom

a b c (Å): 4.355 4.355 4.355
angles (deg): 60.00 60.00 60.00
Fractional coordinates of all 4 atoms:
Fe (0.000, 0.000, 0.000)
Fe (0.250, 0.250, 0.250)
Ir (0.750, 0.750, 0.750)
Au (0.500, 0.500, 0.500)


Version two
A plane-wave DFT calculation with PBE-GGA was carried out for crystalline Fe2IrAu at its relaxed geometry.

Space group ... No. 119
Density of states at the Fermi level ... 1.107 states/eV/atom

a b c (Å): 4.769 4.769 4.769
angles (deg): 132.76 132.76 69.03
Fractional coordinates of all 4 atoms:
Fe (0.000, 0.000, 0.000)
Fe (0.750, 0.250, 0.500)
Ir (0.250, 0.750, 0.500)
Au (0.500, 0.500, 0.000)


Sorted by energy, starting with the most stable: version two, version one.


Version one
A plane-wave DFT calculation with PBE-GGA was carried out for crystalline Fe2IrAu at its relaxed geometry.

Space group ... No. 166
Density of states at the Fermi level ... 1.460 states/eV/atom

a b c (Å): 8.960 8.960 8.960
angles (deg): 17.62 17.62 17.62
Fractional coordinates of all 4 atoms:
Fe (0.246, 0.246, 0.246)
Fe (0.754, 0.754, 0.754)
Ir (0.500, 0.500, 0.500)
Au (0.000, 0.000, 0.000)


Version two
A plane-wave DFT calculation with PBE-GGA was carried out for crystalline Fe2IrAu at its relaxed geometry.

Space group ... No. 65
Density of states at the Fermi level ... 0.818 states/eV/atom

a b c (Å): 4.643 4.643 2.766
angles (deg): 90.00 90.00 107.23
Fractional coordinates of all 4 atoms:
Fe (0.000, 0.500, 0.000)
Fe (0.500, 0.000, 0.000)
Ir (0.000, 0.000, 0.500)
Au (0.500, 0.500, 0.500)


Sorted by energy, starting with the most stable: version two, version one.


Version one
A plane-wave DFT calculation with PBE-GGA was carried out for crystalline Fe2IrAu at its relaxed geometry.

Space group ... No. 123
Density of states at the Fermi level ... 1.147 states/eV/atom

a b c (Å): 2.726 2.726 7.676
angles (deg): 90.00 90.00 90.00
Fractional coordinates of all 4 atoms:
Fe (0.000, 0.000, 0.234)
Fe (0.000, 0.000, 0.766)
Ir (0.500, 0.500, 0.000)
Au (0.500, 0.500, 0.500)


Version two
A plane-wave DFT calculation with PBE-GGA was carried out for crystalline Fe2IrAu at its relaxed geometry.

Space group ... No. 6
Density of states at the Fermi level ... 1.173 states/eV/atom

a b c (Å): 2.727 4.119 5.253
angles (deg): 90.00 104.99 90.00
Fractional coordinates of all 4 atoms:
Fe (0.000, 0.000, 0.000)
Fe (0.115, 0.500, 0.265)
Ir (0.713, 0.000, 0.450)
Au (0.383, 0.500, 0.781)


Sorted by energy, starting with the most stable: version one, version two.